An optimized crystal structure of TbHo4Er10, computed with PBE.

Calculated values
- space-group type = I4/m
- DOS(E_F) (states/eV/atom) = 0.994
- ρ (Mg/m³) = 7.6
- ΔH_f (0 K) (meV/atom) = 731

```
15
Lattice="-6.613 -3.529 1.176 -1.831 -6.766 -6.119 0.588 -7.381 5.634" Properties=species:S:1:pos:R:3 pbc="T T T"
Er -1.017 -9.203 3.407
Er -0.338 -3.074 1.137
Er -7.517 -14.601 -0.445
Er -4.218 -12.841 -1.032
Er -2.274 -7.956 0.052
Er -5.581 -9.720 0.640
Er -4.316 -10.964 3.993
Er -3.638 -4.835 1.723
Er -3.539 -6.712 -3.302
Er -6.839 -8.472 -2.715
Ho -1.938 -4.888 -1.088
Ho -3.873 -9.779 -2.171
Ho -3.982 -7.897 2.863
Ho -5.918 -12.788 1.780
Tb 0.000 0.000 0.000
```